1.
This record from Alexandria via LeMat-Bulk describes a relaxed structure of FeBHRu2. The functional is PBE.

Properties
Symmetry = No. 123
Magnetization = 3.3 μB/f.u.
Volume = 52.5 Å³/cell
VASP energy = -34.49 eV per formula unit

CIF file:
```
data_FeBHRu2
_chemical_formula_sum 'Fe1 B1 H1 Ru2'
_cell_length_a 4.220
_cell_length_b 4.220
_cell_length_c 2.947
_cell_angle_alpha 90.00
_cell_angle_beta 90.00
_cell_angle_gamma 90.00
_symmetry_space_group_name_H-M 'P 1'
_symmetry_Int_Tables_number 1
loop_
_symmetry_equiv_pos_as_xyz
'x,y,z'
loop_
_atom_site_label
_atom_site_type_symbol
_atom_site_fract_x
_atom_site_fract_y
_atom_site_fract_z
Fe1 Fe 0.000 0.000 0.000
B1 B 0.500 0.500 0.500
H1 H 0.500 0.500 0.000
Ru1 Ru 0.000 0.500 0.500
Ru2 Ru 0.500 0.000 0.500
```

2.
This record from Alexandria via LeMat-Bulk describes a relaxed structure of Er10Ga3Pb3. The functional is PBE.

Properties
Symmetry = No. 189
Magnetization = 0.0 μB/f.u.
Volume = 435.0 Å³/cell
E_form = -0.493 eV per atom

CIF file:
```
data_Er10Ga3Pb3
_chemical_formula_sum 'Er10 Ga3 Pb3'
_cell_length_a 8.738
_cell_length_b 8.738
_cell_length_c 6.580
_cell_angle_alpha 90.00
_cell_angle_beta 90.00
_cell_angle_gamma 120.00
_symmetry_space_group_name_H-M 'P 1'
_symmetry_Int_Tables_number 1
loop_
_symmetry_equiv_pos_as_xyz
'x,y,z'
loop_
_atom_site_label
_atom_site_type_symbol
_atom_site_fract_x
_atom_site_fract_y
_atom_site_fract_z
Er1 Er 0.000 0.239 0.000
Er2 Er 0.000 0.764 0.500
Er3 Er 0.236 0.236 0.500
Er4 Er 0.239 0.000 0.000
Er5 Er 0.333 0.667 0.237
Er6 Er 0.333 0.667 0.763
Er7 Er 0.667 0.333 0.237
Er8 Er 0.667 0.333 0.763
Er9 Er 0.761 0.761 0.000
Er10 Er 0.764 0.000 0.500
Ga1 Ga 0.000 0.602 0.000
Ga2 Ga 0.398 0.398 0.000
Ga3 Ga 0.602 0.000 0.000
Pb1 Pb 0.000 0.402 0.500
Pb2 Pb 0.402 0.000 0.500
Pb3 Pb 0.598 0.598 0.500
```

3.
This record from Alexandria via LeMat-Bulk describes a relaxed structure of ZnCr. The functional is PBE.

Properties
Symmetry = No. 62
Magnetization = 0.0 μB/f.u.
Volume = 102.0 Å³/cell
E_form = 0.281 eV per atom

CIF file:
```
data_ZnCr
_chemical_formula_sum 'Zn4 Cr4'
_cell_length_a 4.646
_cell_length_b 4.215
_cell_length_c 5.209
_cell_angle_alpha 90.00
_cell_angle_beta 90.00
_cell_angle_gamma 90.00
_symmetry_space_group_name_H-M 'P 1'
_symmetry_Int_Tables_number 1
loop_
_symmetry_equiv_pos_as_xyz
'x,y,z'
loop_
_atom_site_label
_atom_site_type_symbol
_atom_site_fract_x
_atom_site_fract_y
_atom_site_fract_z
Zn1 Zn 0.087 0.250 0.122
Zn2 Zn 0.413 0.750 0.622
Zn3 Zn 0.587 0.250 0.378
Zn4 Zn 0.913 0.750 0.878
Cr1 Cr 0.079 0.250 0.617
Cr2 Cr 0.421 0.750 0.117
Cr3 Cr 0.579 0.250 0.883
Cr4 Cr 0.921 0.750 0.383
```

4.
This record from Alexandria via LeMat-Bulk describes a relaxed structure of Ca2TbDy. The functional is PBE.

Properties
Symmetry = No. 166
Magnetization = 0.7 μB/f.u.
Volume = 434.3 Å³/cell
E_form = 0.259 eV per atom

CIF file:
```
data_Ca2TbDy
_chemical_formula_sum 'Ca6 Tb3 Dy3'
_cell_length_a 3.569
_cell_length_b 3.569
_cell_length_c 39.365
_cell_angle_alpha 90.00
_cell_angle_beta 90.00
_cell_angle_gamma 120.00
_symmetry_space_group_name_H-M 'P 1'
_symmetry_Int_Tables_number 1
loop_
_symmetry_equiv_pos_as_xyz
'x,y,z'
loop_
_atom_site_label
_atom_site_type_symbol
_atom_site_fract_x
_atom_site_fract_y
_atom_site_fract_z
Ca1 Ca 0.000 0.000 0.088
Ca2 Ca 0.000 0.000 0.912
Ca3 Ca 0.333 0.667 0.578
Ca4 Ca 0.333 0.667 0.755
Ca5 Ca 0.667 0.333 0.245
Ca6 Ca 0.667 0.333 0.422
Tb1 Tb 0.000 0.000 0.000
Tb2 Tb 0.333 0.667 0.667
Tb3 Tb 0.667 0.333 0.333
Dy1 Dy 0.000 0.000 0.500
Dy2 Dy 0.333 0.667 0.167
Dy3 Dy 0.667 0.333 0.833
```

5.
This record from Alexandria via LeMat-Bulk describes a relaxed structure of Cs2Al3PbF12. The functional is PBE.

Properties
Raw formation energy = -5432 kJ/mol of formula units
Symmetry = No. 166
Magnetization = 1.0 μB/f.u.
Volume = 302.6 Å³/cell

CIF file:
```
data_Cs2Al3PbF12
_chemical_formula_sum 'Cs2 Al3 Pb1 F12'
_cell_length_a 7.989
_cell_length_b 7.989
_cell_length_c 7.989
_cell_angle_alpha 53.13
_cell_angle_beta 53.13
_cell_angle_gamma 53.13
_symmetry_space_group_name_H-M 'P 1'
_symmetry_Int_Tables_number 1
loop_
_symmetry_equiv_pos_as_xyz
'x,y,z'
loop_
_atom_site_label
_atom_site_type_symbol
_atom_site_fract_x
_atom_site_fract_y
_atom_site_fract_z
Cs1 Cs 0.123 0.123 0.123
Cs2 Cs 0.877 0.877 0.877
Al1 Al 0.000 0.500 0.500
Al2 Al 0.500 0.000 0.500
Al3 Al 0.500 0.500 0.000
Pb1 Pb 0.500 0.500 0.500
F1 F 0.073 0.594 0.594
F2 F 0.212 0.212 0.586
F3 F 0.212 0.586 0.212
F4 F 0.406 0.406 0.927
F5 F 0.406 0.927 0.406
F6 F 0.414 0.788 0.788
F7 F 0.586 0.212 0.212
F8 F 0.594 0.073 0.594
F9 F 0.594 0.594 0.073
F10 F 0.788 0.414 0.788
F11 F 0.788 0.788 0.414
F12 F 0.927 0.406 0.406
```

6.
This record from Alexandria via LeMat-Bulk describes a relaxed structure of ZnGaNi. The functional is PBE.

Properties
Symmetry = No. 107
Magnetization = 0.0 μB/f.u.
Volume = 80.1 Å³/cell
E_form = -0.190 eV per atom

CIF file:
```
data_ZnGaNi
_chemical_formula_sum 'Zn2 Ga2 Ni2'
_cell_length_a 3.107
_cell_length_b 3.107
_cell_length_c 8.302
_cell_angle_alpha 90.00
_cell_angle_beta 90.00
_cell_angle_gamma 90.00
_symmetry_space_group_name_H-M 'P 1'
_symmetry_Int_Tables_number 1
loop_
_symmetry_equiv_pos_as_xyz
'x,y,z'
loop_
_atom_site_label
_atom_site_type_symbol
_atom_site_fract_x
_atom_site_fract_y
_atom_site_fract_z
Zn1 Zn 0.000 0.000 0.000
Zn2 Zn 0.500 0.500 0.500
Ga1 Ga 0.000 0.000 0.685
Ga2 Ga 0.500 0.500 0.185
Ni1 Ni 0.000 0.000 0.338
Ni2 Ni 0.500 0.500 0.838
```

7.
This record from Alexandria via LeMat-Bulk describes a relaxed structure of Tb2NO. The functional is PBE.

Properties
Raw formation energy = -848 kJ/mol of formula units
Symmetry = No. 160
Magnetization = 0.0 μB/f.u.
Volume = 179.0 Å³/cell

CIF file:
```
data_Tb2NO
_chemical_formula_sum 'Tb6 N3 O3'
_cell_length_a 3.402
_cell_length_b 3.402
_cell_length_c 17.861
_cell_angle_alpha 90.00
_cell_angle_beta 90.00
_cell_angle_gamma 120.00
_symmetry_space_group_name_H-M 'P 1'
_symmetry_Int_Tables_number 1
loop_
_symmetry_equiv_pos_as_xyz
'x,y,z'
loop_
_atom_site_label
_atom_site_type_symbol
_atom_site_fract_x
_atom_site_fract_y
_atom_site_fract_z
Tb1 Tb 0.000 0.000 0.000
Tb2 Tb 0.000 0.000 0.179
Tb3 Tb 0.333 0.667 0.667
Tb4 Tb 0.333 0.667 0.846
Tb5 Tb 0.667 0.333 0.333
Tb6 Tb 0.667 0.333 0.513
N1 N 0.000 0.000 0.592
N2 N 0.333 0.667 0.258
N3 N 0.667 0.333 0.925
O1 O 0.000 0.000 0.421
O2 O 0.333 0.667 0.087
O3 O 0.667 0.333 0.754
```

8.
This record from Alexandria via LeMat-Bulk describes a relaxed structure of YPN2. The functional is PBE.

Properties
Raw formation energy = -63 kJ/mol of formula units
Symmetry = No. 122
Magnetization = 0.0 μB/f.u.
Volume = 230.4 Å³/cell

CIF file:
```
data_YPN2
_chemical_formula_sum 'Y4 P4 N8'
_cell_length_a 4.783
_cell_length_b 4.783
_cell_length_c 10.072
_cell_angle_alpha 90.00
_cell_angle_beta 90.00
_cell_angle_gamma 90.00
_symmetry_space_group_name_H-M 'P 1'
_symmetry_Int_Tables_number 1
loop_
_symmetry_equiv_pos_as_xyz
'x,y,z'
loop_
_atom_site_label
_atom_site_type_symbol
_atom_site_fract_x
_atom_site_fract_y
_atom_site_fract_z
Y1 Y 0.000 0.000 0.000
Y2 Y 0.000 0.500 0.250
Y3 Y 0.500 0.000 0.750
Y4 Y 0.500 0.500 0.500
P1 P 0.000 0.000 0.500
P2 P 0.000 0.500 0.750
P3 P 0.500 0.000 0.250
P4 P 0.500 0.500 0.000
N1 N 0.177 0.250 0.625
N2 N 0.250 0.677 0.875
N3 N 0.250 0.823 0.375
N4 N 0.323 0.250 0.125
N5 N 0.677 0.750 0.125
N6 N 0.750 0.177 0.375
N7 N 0.750 0.323 0.875
N8 N 0.823 0.750 0.625
```

Q: Which value of magnetization does entry 5 give?
A: 1.0 μB/f.u.

Q: Look up the volume of the third one.
A: 102.0 Å³/cell

Q: What is the formula in the first record?
A: FeBHRu2